First-principles (PBE) data for a geometry-optimized FeCu2As structure, as listed in the Alexandria database.

Lattice parameters (Å, degrees): 4.5663 4.5663 2.8113 90.00 90.00 114.22
Each line ends with the local moment (μB).
Sites, in units of the cell vectors:
Cu 0.5000 0.5000 0.0000  0.04
Cu 0.0000 0.0000 0.0000  0.04
As 0.0000 0.5000 0.5000  0.04
Fe 0.5000 0.0000 0.5000  2.59

Summary:
* VASP energy: -20.523 eV for the cell shown
* energy relative to the elements: 0.195 eV per atom
* calculated volume: 53.5 Å³ per cell
* M_tot: 0.667 μB/atom